! Sm4CBr3F2 | OQMD | PBE | optimized geometry; values from VASP
&SYSTEM
  ibrav = 0, nat = 10, ntyp = 4
/
ATOMIC_SPECIES
Br 79.90 Br.upf
C 12.01 C.upf
F 19.00 F.upf
Sm 150.36 Sm.upf
ATOMIC_POSITIONS angstrom
Br 14.090 0.000 1.452
Br 7.911 0.000 3.996
Br 1.732 0.000 6.539
C 8.691 0.000 0.000
F 2.099 0.000 2.039
F 13.723 0.000 5.952
Sm 11.041 0.000 0.633
Sm -0.302 0.000 1.659
Sm 16.124 0.000 6.333
Sm 4.781 0.000 7.359
CELL_PARAMETERS angstrom
8.691 -1.896 0.000
8.691 1.896 0.000
-1.559 0.000 7.992
! Symmetry: C2/m (12)
! Raw total energy, eV/f.u.: -56.157

***

! AcGa3Co2 | OQMD | PBE | optimized geometry; values from VASP
&SYSTEM
  ibrav = 0, nat = 12, ntyp = 3
/
ATOMIC_SPECIES
Ac 227.00 Ac.upf
Co 58.93 Co.upf
Ga 69.72 Ga.upf
ATOMIC_POSITIONS angstrom
Ac 5.090 -2.642 1.333
Ac 5.090 2.642 3.998
Co 3.078 0.000 0.000
Co 7.103 0.000 0.000
Co 3.078 0.000 2.665
Co 7.103 0.000 2.665
Ga 5.090 0.511 1.333
Ga 3.099 2.178 1.333
Ga 7.081 2.178 1.333
Ga 3.099 -2.178 3.998
Ga 7.081 -2.178 3.998
Ga 5.090 -0.511 3.998
CELL_PARAMETERS angstrom
5.090 -3.865 0.000
5.090 3.865 0.000
0.000 0.000 5.330
! Symmetry: Cmcm (63)
! Raw total energy, eV/f.u.: -29.899

***

! UNbIr4 | OQMD | PBE | optimized geometry; values from VASP
&SYSTEM
  ibrav = 0, nat = 6, ntyp = 3
/
ATOMIC_SPECIES
Ir 192.22 Ir.upf
Nb 92.91 Nb.upf
U 238.03 U.upf
ATOMIC_POSITIONS angstrom
Ir 3.725 -1.345 0.000
Ir 3.725 1.345 0.000
Ir 1.306 0.000 2.311
Ir 6.144 0.000 2.311
Nb 0.000 0.000 0.000
U 3.725 0.000 2.311
CELL_PARAMETERS angstrom
3.725 -3.833 0.000
3.725 3.833 0.000
0.000 0.000 4.622
! Symmetry: Cmmm (65)
! ΔH_f (0 K), eV/atom: 0.85
! Raw total energy, eV/f.u.: -51.695

***

! Lu2ReC2 | OQMD | PBE | optimized geometry; values from VASP
&SYSTEM
  ibrav = 0, nat = 20, ntyp = 3
/
ATOMIC_SPECIES
C 12.01 C.upf
Lu 174.97 Lu.upf
Re 186.21 Re.upf
ATOMIC_POSITIONS angstrom
C -6.065 1.374 2.068
C -3.482 -1.004 2.557
C -1.748 -2.205 0.097
C -5.136 -3.195 0.427
C -4.598 -3.644 3.860
C -7.987 -4.634 4.190
C -6.252 -5.836 1.730
C -3.669 -8.213 2.219
Lu -4.049 1.227 3.513
Lu -5.374 -0.706 0.956
Lu -3.741 -2.329 -1.401
Lu -3.113 -3.313 1.865
Lu -6.621 -3.527 2.422
Lu -5.993 -4.511 5.688
Lu -4.360 -6.134 3.331
Lu -5.685 -8.067 0.774
Re -2.290 -0.536 0.972
Re -4.592 -1.712 4.010
Re -5.142 -5.127 0.277
Re -7.444 -6.303 3.314
CELL_PARAMETERS angstrom
-3.549 2.064 5.002
-4.000 0.241 -2.938
-2.185 -9.145 2.223
! Symmetry: Pnma (62)
! Raw total energy, eV/f.u.: -42.239

***

! Pm3Ge7Os2 | OQMD | PBE | optimized geometry; values from VASP
&SYSTEM
  ibrav = 0, nat = 12, ntyp = 3
/
ATOMIC_SPECIES
Ge 72.64 Ge.upf
Os 190.23 Os.upf
Pm 145.00 Pm.upf
ATOMIC_POSITIONS angstrom
Ge 2.206 0.000 0.000
Ge 0.002 0.000 2.211
Ge 2.207 2.186 2.213
Ge 0.000 2.186 5.710
Ge 2.207 2.186 7.156
Ge 0.001 2.186 10.653
Ge 2.205 0.000 10.655
Os 0.001 2.186 3.290
Os 2.207 2.186 9.576
Pm 0.000 2.186 0.000
Pm 2.207 0.000 4.713
Pm 0.001 0.000 8.153
CELL_PARAMETERS angstrom
4.412 0.000 0.000
0.000 4.372 0.000
-2.205 0.000 12.866
! Symmetry: Cmmm (65)
! Raw total energy, eV/f.u.: -75.358

***

! NdDyAl6 | OQMD | PBE | optimized geometry; values from VASP
&SYSTEM
  ibrav = 0, nat = 8, ntyp = 3
/
ATOMIC_SPECIES
Al 26.98 Al.upf
Dy 162.50 Dy.upf
Nd 144.24 Nd.upf
ATOMIC_POSITIONS angstrom
Al -2.713 0.861 1.490
Al -1.621 -1.511 2.326
Al -3.938 -0.590 3.468
Al -0.322 0.892 2.951
Al -2.692 1.834 4.118
Al -1.575 -0.593 4.973
Dy 0.000 0.000 0.000
Nd 1.124 -1.852 3.776
CELL_PARAMETERS angstrom
-5.411 2.150 2.665
2.550 -5.540 1.953
2.456 2.249 3.172
! Symmetry: P-6m2 (187)
! Raw total energy, eV/f.u.: -35.314

***

! CoSn2Bi | OQMD | PBE | optimized geometry; values from VASP
&SYSTEM
  ibrav = 0, nat = 4, ntyp = 3
/
ATOMIC_SPECIES
Bi 208.98 Bi.upf
Co 58.93 Co.upf
Sn 118.71 Sn.upf
ATOMIC_POSITIONS angstrom
Bi 4.868 -2.940 2.498
Co 2.434 -1.470 1.249
Sn 0.000 0.000 0.000
Sn 7.302 -4.410 3.747
CELL_PARAMETERS angstrom
5.027 0.132 0.655
2.040 -1.699 4.321
2.669 -4.312 0.021
! Symmetry: F-43m (216)
! Raw total energy, eV/f.u.: -17.156

***

! LiBe2Pd2 | OQMD | PBE | optimized geometry; values from VASP
&SYSTEM
  ibrav = 0, nat = 10, ntyp = 3
/
ATOMIC_SPECIES
Be 9.01 Be.upf
Li 6.94 Li.upf
Pd 106.42 Pd.upf
ATOMIC_POSITIONS angstrom
Be -0.991 -1.186 2.071
Be -2.435 -3.303 4.677
Be -1.159 -3.973 -0.286
Be -2.602 -6.091 2.320
Li 0.000 0.000 0.000
Li -1.797 -3.638 2.195
Pd -0.412 -2.198 4.151
Pd 0.440 -2.624 0.858
Pd -1.476 -5.453 4.298
Pd -0.624 -5.880 1.005
CELL_PARAMETERS angstrom
-2.165 -1.130 6.050
-1.429 -6.146 -1.659
2.557 -0.801 0.765
! Symmetry: P4/mbm (127)
! Raw total energy, eV/f.u.: -22.361

***

- Look up the raw total energy of the eighth one.
  -22.361 eV/f.u.

***

- Which formula does entry 8 have?
  LiBe2Pd2